# MgCrAg2

Crystalline MgCrAg2 at its relaxed geometry (PBEsol, the Alexandria database).

## Properties
- crystal system = tetragonal
- V (A^3/atom) = 16.89
- ΔE_f (kJ/mol of formula units) = 77.4
- ρ (g/cm3) = 7.18
- DFT total energy (eV per atom) = -4.44
- size of the total moment (μB per cell) = 4.135

abc: 3.6346 4.3116 4.3116
angles: 90.05 90.00 90.00
Each line ends with the local moment (μB).
Sites, in units of the cell vectors:
1 Ag 0.0000 0.5000 0.0000  0.05
2 Ag 0.0000 0.0000 0.5000  0.05
3 Cr 0.5000 0.0000 0.0000  3.67
4 Mg 0.5000 0.5000 0.5000  -0.01


# MnCrAg

Crystalline MnCrAg at its relaxed geometry (PBEsol, the Alexandria database).

## Properties
- crystal system = cubic
- V (A^3/atom) = 16.88
- ΔE_f (kJ/mol of formula units) = 275.4
- ρ (g/cm3) = 7.04
- DFT total energy (eV per atom) = -6.82
- size of the total moment (μB per cell) = 0.057

abc: 4.1530 4.1530 4.1530
angles: 60.00 60.00 60.00
Each line ends with the local moment (μB).
Sites, in units of the cell vectors:
1 Ag 0.5000 0.5000 0.5000  0.11
2 Cr 0.2500 0.2500 0.2500  3.06
3 Mn 0.0000 0.0000 0.0000  -3.25


# MnCrAg

Crystalline MnCrAg at its relaxed geometry (PBEsol, the Alexandria database).

## Properties
- crystal system = trigonal
- V (A^3/atom) = 14.15
- ΔE_f (kJ/mol of formula units) = 149.5
- ρ (g/cm3) = 8.41
- DFT total energy (eV per atom) = -7.26
- size of the total moment (μB per cell) = 0.058

abc: 2.7404 4.2287 4.2287
angles: 120.00 90.00 90.00
Each line ends with the local moment (μB).
Sites, in units of the cell vectors:
1 Ag 0.0084 0.0000 0.0000  -0.03
2 Cr 0.5996 0.3333 0.6667  -2.85
3 Mn 0.3920 0.6667 0.3333  3.02


# MnCr4Ag

Crystalline MnCr4Ag at its relaxed geometry (PBEsol, the Alexandria database).

## Properties
- crystal system = cubic
- V (A^3/atom) = 12.03
- ΔE_f (kJ/mol of formula units) = 231.2
- ρ (g/cm3) = 8.53
- DFT total energy (eV per atom) = -8.61
- size of the total moment (μB per cell) = 0.001

abc: 4.6735 4.6735 4.6735
angles: 60.00 60.00 60.00
Sites, in units of the cell vectors:
1 Ag 0.0000 0.0000 0.0000
2 Cr 0.3739 0.3739 0.3739
3 Cr 0.3739 0.3739 0.8783
4 Cr 0.8783 0.3739 0.3739
5 Cr 0.3739 0.8783 0.3739
6 Mn 0.7500 0.7500 0.7500


# ScMnCrAg2

Crystalline ScMnCrAg2 at its relaxed geometry (PBEsol, the Alexandria database).

## Properties
- crystal system = tetragonal
- V (A^3/atom) = 20.20
- ΔE_f (kJ/mol of formula units) = 491.3
- ρ (g/cm3) = 6.05
- DFT total energy (eV per atom) = -5.63
- size of the total moment (μB per cell) = 6.667

abc: 4.3556 4.8149 4.8149
angles: 90.00 90.00 90.00
Each line ends with the local moment (μB).
Sites, in units of the cell vectors:
1 Sc 0.5000 0.0000 0.0000  -0.27
2 Cr 0.5000 0.5000 0.5000  3.93
3 Mn 0.0000 0.0000 0.0000  2.45
4 Ag 0.0000 0.0000 0.5000  0.06
5 Ag 0.0000 0.5000 0.0000  0.06


# CrAgMo2

Crystalline CrAgMo2 at its relaxed geometry (PBEsol, the Alexandria database).

## Properties
- crystal system = orthorhombic
- V (A^3/atom) = 14.71
- ΔE_f (kJ/mol of formula units) = 206.0
- ρ (g/cm3) = 9.92
- DFT total energy (eV per atom) = -8.74
- size of the total moment (μB per cell) = 0.002

abc: 2.5513 4.1810 5.5174
angles: 90.00 90.00 90.00
Sites, in units of the cell vectors:
1 Ag 0.0000 0.0000 0.5057
2 Cr 0.5000 0.5000 0.7574
3 Mo 0.0000 0.0000 0.9919
4 Mo 0.5000 0.5000 0.2451


# CrAgMo2

Crystalline CrAgMo2 at its relaxed geometry (PBEsol, the Alexandria database).

## Properties
- crystal system = orthorhombic
- V (A^3/atom) = 14.56
- ΔE_f (kJ/mol of formula units) = 196.6
- ρ (g/cm3) = 10.03
- DFT total energy (eV per atom) = -8.76
- size of the total moment (μB per cell) = 0.002

abc: 2.5813 4.9738 4.9738
angles: 114.23 90.00 90.00
Sites, in units of the cell vectors:
1 Ag 0.5000 0.0000 0.0000
2 Cr 0.5000 0.5000 0.5000
3 Mo 0.0000 0.5000 0.0000
4 Mo 0.0000 0.0000 0.5000


# CrAgMo2

Crystalline CrAgMo2 at its relaxed geometry (PBEsol, the Alexandria database).

## Properties
- crystal system = trigonal
- V (A^3/atom) = 14.81
- ΔE_f (kJ/mol of formula units) = 189.2
- ρ (g/cm3) = 9.86
- DFT total energy (eV per atom) = -8.78
- size of the total moment (μB per cell) = 0.003

abc: 2.7630 2.7630 9.0998
angles: 81.27 81.27 60.00
Sites, in units of the cell vectors:
1 Ag 0.5000 0.5000 0.5000
2 Cr 0.0000 0.0000 0.0000
3 Mo 0.2588 0.2588 0.2236
4 Mo 0.7412 0.7412 0.7764


# CrAgMo2

Crystalline CrAgMo2 at its relaxed geometry (PBEsol, the Alexandria database).

## Properties
- crystal system = cubic
- V (A^3/atom) = 14.93
- ΔE_f (kJ/mol of formula units) = 226.2
- ρ (g/cm3) = 9.78
- DFT total energy (eV per atom) = -8.69
- size of the total moment (μB per cell) = 1.993

abc: 4.3874 4.3874 4.3874
angles: 60.00 60.00 60.00
Each line ends with the local moment (μB).
Sites, in units of the cell vectors:
1 Ag 0.5000 0.5000 0.5000  0.01
2 Cr 0.7500 0.7500 0.7500  2.19
3 Mo 0.0000 0.0000 0.0000  -0.35
4 Mo 0.2500 0.2500 0.2500  -0.01


# Cr3AgMo

Crystalline Cr3AgMo at its relaxed geometry (PBEsol, the Alexandria database).

## Properties
- crystal system = cubic
- V (A^3/atom) = 19.11
- ΔE_f (kJ/mol of formula units) = 772.7
- ρ (g/cm3) = 6.25
- DFT total energy (eV per atom) = -7.56
- size of the total moment (μB per cell) = 8.610

abc: 4.5720 4.5720 4.5720
angles: 90.00 90.00 90.00
Each line ends with the local moment (μB).
Sites, in units of the cell vectors:
1 Cr 0.0000 0.5000 0.0000  2.90
2 Cr 0.0000 0.0000 0.5000  2.90
3 Cr 0.5000 0.0000 0.0000  2.90
4 Mo 0.0000 0.0000 0.0000  -0.90
5 Ag 0.5000 0.5000 0.5000  0.02


# CrAgMo2

Crystalline CrAgMo2 at its relaxed geometry (PBEsol, the Alexandria database).

## Properties
- crystal system = tetragonal
- V (A^3/atom) = 14.95
- ΔE_f (kJ/mol of formula units) = 174.3
- ρ (g/cm3) = 9.77
- DFT total energy (eV per atom) = -8.82
- size of the total moment (μB per cell) = 1.570

abc: 3.1243 3.1243 6.1257
angles: 90.00 90.00 90.00
Each line ends with the local moment (μB).
Sites, in units of the cell vectors:
1 Ag 0.0000 0.0000 0.5132  0.01
2 Cr 0.5000 0.5000 0.7763  1.64
3 Mo 0.0000 0.0000 0.9872  -0.19
4 Mo 0.5000 0.5000 0.2233  0.05


# CrAgMo2

Crystalline CrAgMo2 at its relaxed geometry (PBEsol, the Alexandria database).

## Properties
- crystal system = orthorhombic
- V (A^3/atom) = 14.68
- ΔE_f (kJ/mol of formula units) = 127.2
- ρ (g/cm3) = 9.95
- DFT total energy (eV per atom) = -8.94
- size of the total moment (μB per cell) = 0.001

abc: 2.6504 2.6504 8.8123
angles: 90.00 90.00 108.46
Sites, in units of the cell vectors:
1 Ag 0.0000 0.0000 0.4894
2 Cr 0.5000 0.5000 0.2369
3 Mo 0.0000 0.0000 0.0128
4 Mo 0.5000 0.5000 0.7610


- What is the formula in the first record?
  MgCrAg2